1.
NaCdBrF2, optimized geometry, DFT PBE; E_tot = -3.4361 eV per atom; calculated volume = 18.890 Å³/atom; ΔE_f (raw) = -1.906 eV per atom; energy above the most stable polymorph in this dataset = 0 meV per atom; M_tot = 0.000 μB per cell; space-group type = No. 107
1.0
-2.615 2.169 1.939
-1.839 -3.253 1.157
5.784 0.324 3.491
Na Cd Br F
1 1 1 2
Cartesian
1.159 -0.071 1.642 Na
0.242 -0.694 5.047 Cd
3.426 -0.210 4.855 Br
0.500 0.973 3.531 F
0.888 -1.737 3.140 F

2.
Tb2PrHo, optimized geometry, DFT PBE; E_tot = -4.6351 eV per atom; calculated volume = 32.788 Å³/atom; energy above the most stable polymorph in this dataset = 0 meV per atom; M_tot = 0.001 μB per cell; space-group type = No. 160
1.0
-1.872 2.638 1.589
0.065 0.348 3.587
8.631 8.061 0.873
Tb Pr Ho
2 1 1
Cartesian
6.382 6.340 1.080 Tb
1.652 2.720 1.517 Tb
3.402 5.516 3.025 Pr
-1.200 1.994 3.450 Ho

3.
NbCu2HIr, optimized geometry, DFT PBE; E_tot = -6.0878 eV per atom; calculated volume = 11.972 Å³/atom; M_tot = 0.000 μB per cell; space-group type = No. 123
1.0
3.777 0.000 0.000
0.000 3.777 0.000
0.000 0.000 4.195
H Nb Ir Cu
1 1 1 2
Cartesian
0.000 0.000 0.000 H
0.000 0.000 2.098 Nb
1.889 1.889 2.098 Ir
0.000 1.889 0.000 Cu
1.889 0.000 0.000 Cu

4.
ZrV2TcP, optimized geometry, DFT PBE; E_tot = -7.6448 eV per atom; calculated volume = 20.217 Å³/atom; M_tot = 0.000 μB per cell; space-group type = No. 123
1.0
-3.636 -2.005 -1.527
2.943 -3.369 -2.582
0.006 -2.687 3.514
P Tc Zr V
1 1 1 2
Cartesian
-0.344 -4.031 -0.297 P
0.000 0.000 0.000 Tc
1.471 -1.685 -1.291 Zr
0.003 -1.344 1.757 V
-1.818 -1.003 -0.764 V

5.
LaPm4Y6, optimized geometry, DFT PBE; E_tot = -5.5950 eV per atom; calculated volume = 33.768 Å³/atom; energy above the most stable polymorph in this dataset = 0 meV per atom; M_tot = 0.000 μB per cell; space-group type = No. 63
1.0
5.831 0.000 0.000
-2.916 4.874 0.000
0.000 0.000 26.135
La Pm Y
2 8 12
Cartesian
2.916 3.057 6.534 La
0.000 1.818 19.601 La
2.916 3.341 14.199 Pm
0.000 4.585 3.200 Pm
0.000 1.534 11.936 Pm
2.916 0.289 22.935 Pm
2.916 3.341 25.004 Pm
0.000 1.534 1.131 Pm
2.916 0.289 16.267 Pm
0.000 4.585 9.868 Pm
2.916 0.000 0.000 Y
2.916 0.000 13.067 Y
0.000 1.392 8.334 Y
2.916 3.483 17.801 Y
2.916 3.483 21.401 Y
0.000 1.392 4.734 Y
2.916 3.040 10.430 Y
0.000 1.835 15.705 Y
0.000 1.835 23.497 Y
2.916 3.040 2.637 Y
0.000 4.660 6.534 Y
2.916 0.215 19.601 Y

6.
ZrP2Os2, optimized geometry, DFT PBE; E_tot = -8.3627 eV per atom; calculated volume = 15.110 Å³/atom; M_tot = 0.000 μB per cell; space-group type = No. 127
1.0
-4.603 2.054 -5.055
2.105 -5.433 -4.124
-2.091 -1.724 1.204
P Os Zr
4 4 2
Cartesian
-0.402 -4.131 -2.963 P
-2.339 -4.043 -6.202 P
-4.187 -0.972 -5.013 P
-2.249 -1.061 -1.773 P
0.143 -3.948 -5.408 Os
-2.641 -1.677 -6.991 Os
-2.640 0.569 -3.771 Os
0.144 -1.702 -2.188 Os
0.000 0.000 0.000 Zr
-1.249 -1.690 -4.590 Zr

7.
CrAg2P, optimized geometry, DFT PBE; E_tot = -4.7144 eV per atom; calculated volume = 16.992 Å³/atom; M_tot = 3.835 μB per cell; space-group type = No. 65
1.0
-4.437 -2.403 -0.930
1.752 0.022 4.823
-1.452 2.481 0.516
Ag Cr P
2 1 1
Cartesian
0.000 0.000 0.000 Ag
-1.343 -1.190 1.946 Ag
-2.945 0.039 -0.207 Cr
0.150 1.251 2.669 P

8.
MgTl2Cr, optimized geometry, DFT PBE; E_tot = -3.5926 eV per atom; calculated volume = 24.357 Å³/atom; M_tot = 4.173 μB per cell; space-group type = No. 160
1.0
-1.664 8.165 -5.578
-3.198 5.841 -7.497
-4.856 7.266 -4.917
Cr Mg Tl
1 1 2
Cartesian
-4.847 10.611 -8.974 Cr
-7.353 16.096 -13.613 Mg
-0.028 0.062 -0.053 Tl
-2.348 5.141 -4.348 Tl